10
Lattice="7.590 0.000 0.000 3.795 6.573 0.000 3.795 2.191 6.927" Properties=species:S:1:pos:R:3 comment="GGA-PBE Y2HoScTe6, relaxed" final_energy_ev_per_atom=-5.591 e_form_raw_ev_per_atom=-1.322 magnetic_moment_mub_per_fu=0.000 space_group="No. 146" vol_a3_per_cell=345.6 pbc="T T T"
Y 7.590 4.382 3.239
Te 8.817 6.387 5.261
Sc 3.795 2.191 0.142
Te 10.273 4.404 1.736
Ho 11.385 6.573 3.638
Te 5.240 4.443 5.260
Te 6.229 6.695 1.737
Te 8.712 2.317 5.261
Y 3.795 2.191 6.733
Te 6.267 2.047 1.736

***

4
Lattice="-2.687 -4.140 0.823 -4.575 0.343 1.995 -4.030 -0.965 -2.803" Properties=species:S:1:pos:R:3 comment="GGA-PBE ScZn2Br, relaxed" final_energy_ev_per_atom=-2.410 e_form_raw_ev_per_atom=0.228 magnetic_moment_mub_per_fu=0.486 space_group="No. 225" vol_a3_per_cell=88.5 de_polymorph_mev_per_atom=623.0 pbc="T T T"
Br -5.646 -2.381 0.008
Sc 0.000 0.000 0.000
Zn -8.469 -3.571 0.012
Zn -2.823 -1.190 0.004

***

5
Lattice="5.142 0.000 0.000 0.000 5.142 0.000 0.000 0.000 5.158" Properties=species:S:1:pos:R:3 comment="GGA-PBE KIn2FePb, relaxed" final_energy_ev_per_atom=-3.686 magnetic_moment_mub_per_fu=1.072 formation_energy_kj_per_mol_atoms=6.1 space_group="No. 123" vol_a3_per_cell=136.4 pbc="T T T"
In 2.571 0.000 0.000
Fe 0.000 0.000 0.000
In 0.000 2.571 0.000
K 2.571 2.571 2.579
Pb 0.000 0.000 2.579

***

12
Lattice="6.456 0.000 0.000 0.000 11.513 0.000 -3.228 -5.757 5.831" Properties=species:S:1:pos:R:3 comment="GGA-PBE Pr3YHo2, relaxed" final_energy_ev_per_atom=-4.694 magnetic_moment_mub_per_fu=0.000 formation_energy_kj_per_mol_atoms=28.8 space_group="No. 74" vol_a3_per_cell=433.4 de_polymorph_mev_per_atom=190.1 pbc="T T T"
Ho 5.246 0.000 1.107
Ho -1.210 0.000 4.723
Y 1.927 0.000 2.915
Pr 3.228 2.447 0.000
Ho -2.018 5.757 4.723
Pr 3.228 9.066 0.000
Y 1.301 5.757 2.915
Pr 0.000 8.203 0.000
Pr 0.000 3.310 0.000
Pr -1.614 2.878 2.915
Pr -1.614 -2.878 2.915
Ho 4.438 5.757 1.107

***

12
Lattice="4.844 0.000 0.000 0.000 4.844 0.000 0.000 0.000 14.524" Properties=species:S:1:pos:R:3 comment="GGA-PBE SrTb2Tl9, relaxed" final_energy_ev_per_atom=-2.938 magnetic_moment_mub_per_fu=0.000 formation_energy_kj_per_mol_atoms=-24.3 space_group="No. 123" vol_a3_per_cell=340.8 pbc="T T T"
Tl 2.422 0.000 2.550
Tl 2.422 0.000 11.974
Tb 0.000 0.000 9.554
Tb 0.000 0.000 4.971
Tl 0.000 2.422 7.262
Sr 0.000 0.000 0.000
Tl 2.422 2.422 9.665
Tl 2.422 0.000 7.262
Tl 0.000 2.422 11.974
Tl 0.000 2.422 2.550
Tl 2.422 2.422 0.000
Tl 2.422 2.422 4.860

***

9
Lattice="7.693 0.000 0.000 0.000 6.282 -3.627 0.000 0.000 7.254" Properties=species:S:1:pos:R:3 comment="GGA-PBE Mg2MnI6, relaxed" final_energy_ev_per_atom=-3.248 e_form_raw_ev_per_atom=-0.841 magnetic_moment_mub_per_fu=5.000 space_group="No. 162" vol_a3_per_cell=350.6 pbc="T T T"
I 2.180 4.205 4.826
Mn 3.847 0.000 0.000
I 5.513 2.077 -1.199
Mg 3.847 2.094 3.627
I 5.513 4.205 2.428
Mg 3.847 4.188 0.000
I 2.180 2.077 1.199
I 2.180 0.000 4.856
I 5.513 6.282 -1.228

***

5
Lattice="5.559 0.000 0.000 0.000 4.778 0.000 0.000 0.000 5.559" Properties=species:S:1:pos:R:3 comment="GGA-PBE La2TiAlPd, relaxed" final_energy_ev_per_atom=-5.178 magnetic_moment_mub_per_fu=0.000 formation_energy_kj_per_mol_atoms=15.4 space_group="No. 123" vol_a3_per_cell=147.6 pbc="T T T"
Al 0.000 2.389 0.000
La 2.779 0.000 0.000
Pd 0.000 0.000 0.000
La 0.000 0.000 2.779
Ti 2.779 2.389 2.779

***

5
Lattice="6.863 0.000 0.000 0.000 6.863 0.000 0.000 0.000 6.863" Properties=species:S:1:pos:R:3 comment="GGA-PBE Rb3ZnSi, relaxed" final_energy_ev_per_atom=-1.475 e_form_raw_ev_per_atom=0.445 magnetic_moment_mub_per_fu=1.001 space_group="No. 221" vol_a3_per_cell=323.2 de_polymorph_mev_per_atom=0.0 pbc="T T T"
Rb 0.000 3.431 0.000
Si 0.000 0.000 0.000
Zn 3.431 3.431 3.431
Rb 3.431 0.000 0.000
Rb 0.000 0.000 3.431

***

16
Lattice="-1.277 -1.868 2.283 -1.776 -1.943 -4.846 8.553 -6.497 -0.530" Properties=species:S:1:pos:R:3 comment="GGA-PBE PaTa2BeC4, relaxed" final_energy_ev_per_atom=-9.706 magnetic_moment_mub_per_fu=0.000 formation_energy_kj_per_mol_atoms=-46.1 space_group="No. 63" vol_a3_per_cell=182.3 pbc="T T T"
C 1.175 -2.944 0.511
Ta 2.947 -5.708 -3.021
Ta -0.826 -2.033 0.138
Be 4.140 -7.756 -1.767
C 0.000 0.000 0.000
C -0.270 -2.344 -2.069
C 5.770 -7.963 -1.024
Ta 2.553 -4.599 -0.072
C 4.324 -7.363 -3.604
Pa 5.893 -5.494 -1.198
C 1.933 -4.018 -2.206
Ta 6.325 -8.275 -3.231
Pa -0.394 -4.813 -1.895
C 3.567 -6.290 -0.887
C 4.276 -3.249 -0.265
Be 1.360 -2.551 -1.326